DFT (PBE-GGA) results for a geometry-optimized PaTlNiS3 structure.

a b c (Å): 3.898 14.363 10.086
angles (deg): 90.00 90.00 90.00
Space group Cmcm (No. 63)
Inequivalent atoms, fractional coordinates:
1 Pa 0.000 0.000 0.000 (multiplicity 4)
2 Tl 0.000 0.254 0.250 (multiplicity 4)
3 Ni 0.000 0.472 0.750 (multiplicity 4)
4 S 0.000 0.059 0.750 (multiplicity 4)
5 S 0.000 0.380 0.567 (multiplicity 8)

Properties
Raw total energy: -147.1 eV per cell
E_form (uncorrected): -6.76 eV/f.u.
Crystal system: orthorhombic
Spin magnetization: 0.0 μB per cell